Record 1
{
  "formula": "NiHgSe2",
  "functional": "PBE",
  "state": "relaxed",
  "lattice": [[3.5209, 0.0000, 0.0000], [0.0000, 4.7692, -0.0195], [0.0000, 2.9683, 5.2815]],
  "species": ["Hg", "Se", "Se", "Ni"],
  "fractional_positions": [[0.5000, 0.2500, 0.2500], [0.0000, 0.9508, 0.8907], [0.0000, 0.5492, 0.6093], [0.5000, 0.7500, 0.7500]],
  "formation_energy_uncorrected_ev_per_atom": -0.1609
}

***

Record 2
{
  "formula": "K4Cd5Pd",
  "functional": "PBE",
  "state": "relaxed",
  "lattice": [[-5.1823, 1.8749, -0.1372], [-4.8479, -5.5837, -3.9438], [-4.0714, -2.6493, 6.8292]],
  "species": ["Cd", "Cd", "Cd", "Cd", "Cd", "K", "K", "K", "K", "Pd"],
  "fractional_positions": [[0.8018, 0.3387, 0.0000], [0.8018, 0.0000, 0.3387], [0.6431, 0.0000, 0.0000], [0.1405, 0.6613, 0.0000], [0.1405, 0.0000, 0.6613], [0.4544, 0.2925, 0.7075], [0.4544, 0.7075, 0.2925], [0.1620, 0.2925, 0.2925], [0.7469, 0.7075, 0.7075], [0.1441, 0.0000, 0.0000]],
  "e_form_ev_per_atom": -0.088
}

***

Record 3
{
  "formula": "Ba2PuHgTe5",
  "functional": "PBE",
  "state": "relaxed",
  "lattice": [[-0.5456, 2.7499, -3.6912], [-8.5859, -5.8956, -0.2128], [-6.7219, 9.4981, 8.0695]],
  "species": ["Pu", "Pu", "Ba", "Ba", "Ba", "Ba", "Te", "Te", "Te", "Te", "Te", "Te", "Te", "Te", "Te", "Te", "Hg", "Hg"],
  "fractional_positions": [[0.2033, 0.4066, 0.0149], [0.7967, 0.5934, 0.5149], [0.8736, 0.7473, 0.8190], [0.8824, 0.7648, 0.1904], [0.1176, 0.2352, 0.6904], [0.1264, 0.2527, 0.3190], [0.7062, 0.4124, 0.1585], [0.0539, 0.1078, 0.0613], [0.9461, 0.8922, 0.5613], [0.3530, 0.7061, 0.0069], [0.5032, 0.0064, 0.2627], [0.3039, 0.6078, 0.3672], [0.6961, 0.3922, 0.8672], [0.6470, 0.2939, 0.5069], [0.2938, 0.5876, 0.6585], [0.4968, 0.9936, 0.7627], [0.5503, 0.1005, 0.9430], [0.4497, 0.8995, 0.4430]],
  "formation_energy_uncorrected_ev_per_atom": -1.0963
}

***

Record 4
{
  "formula": "CrFe6Tc",
  "functional": "PBE",
  "state": "relaxed",
  "lattice": [[-5.9584, -0.3012, 1.5550], [1.7394, -5.4292, -2.3472], [2.5517, -3.1461, 9.1680]],
  "species": ["Fe", "Fe", "Fe", "Fe", "Fe", "Fe", "Fe", "Fe", "Fe", "Fe", "Fe", "Fe", "Fe", "Fe", "Fe", "Fe", "Fe", "Fe", "Fe", "Fe", "Fe", "Fe", "Fe", "Fe", "Tc", "Tc", "Tc", "Tc", "Cr", "Cr", "Cr", "Cr"],
  "fractional_positions": [[0.8710, 0.6222, 0.1227], [0.6222, 0.8710, 0.3773], [0.0000, 0.0000, 0.2500], [0.3777, 0.1290, 0.1227], [0.7481, 0.2519, 0.9963], [0.5000, 0.5000, 0.7500], [0.5000, 0.5000, 0.2500], [0.8731, 0.6206, 0.6259], [0.3794, 0.1269, 0.8741], [0.1269, 0.3794, 0.8741], [0.3794, 0.1269, 0.6259], [0.7481, 0.2519, 0.5037], [0.1269, 0.3794, 0.6259], [0.8731, 0.6206, 0.8741], [0.2519, 0.7481, 0.5037], [0.2519, 0.7481, 0.9963], [0.6206, 0.8731, 0.6259], [0.8710, 0.6222, 0.3773], [0.1290, 0.3777, 0.1227], [0.3777, 0.1290, 0.3773], [0.6206, 0.8731, 0.8741], [0.0000, 0.0000, 0.7500], [0.1290, 0.3777, 0.3773], [0.6222, 0.8710, 0.1227], [0.0000, 0.0000, 0.4991], [0.7509, 0.2491, 0.2500], [0.0000, 0.0000, 0.0009], [0.2491, 0.7509, 0.2500], [0.5000, 0.5000, 0.4984], [0.7519, 0.2481, 0.7500], [0.5000, 0.5000, 0.0016], [0.2481, 0.7519, 0.7500]],
  "e_form_ev_per_atom": 0.090
}

***

Record 5
{
  "formula": "Y3Tm3Al4",
  "functional": "PBE",
  "state": "relaxed",
  "lattice": [[-2.3235, 1.3272, -3.3419], [-3.3184, -7.0523, -0.4936], [-5.6694, 2.2983, 4.8544]],
  "species": ["Al", "Al", "Al", "Al", "Tm", "Tm", "Tm", "Y", "Y", "Y"],
  "fractional_positions": [[0.0000, 0.8817, 0.8798], [0.0000, 0.3789, 0.6211], [0.0000, 0.1202, 0.1183], [0.0000, 0.6193, 0.3807], [0.0000, 0.0009, 0.5009], [0.5000, 0.1752, 0.8248], [0.0000, 0.4991, 0.9991], [0.5000, 0.3238, 0.3241], [0.5000, 0.6759, 0.6762], [0.5000, 0.8250, 0.1750]],
  "e_form_ev_per_atom": -0.331
}

***

Record 6
{
  "formula": "K2Ti2F7",
  "functional": "PBE",
  "state": "relaxed",
  "lattice": [[-4.0582, -1.6620, -4.4639], [2.5594, -5.9616, 1.3060], [-4.1587, 3.2695, 3.9765]],
  "species": ["F", "F", "F", "F", "F", "F", "F", "Ti", "Ti", "K", "K"],
  "fractional_positions": [[0.7456, 0.0753, 0.3631], [0.0000, 0.0000, 0.0000], [0.2544, 0.6369, 0.9247], [0.2374, 0.4373, 0.4373], [0.7456, 0.3631, 0.0753], [0.2544, 0.9247, 0.6369], [0.7626, 0.5627, 0.5627], [0.1002, 0.7132, 0.7132], [0.8998, 0.2868, 0.2868], [0.5000, 0.3185, 0.6815], [0.5000, 0.6815, 0.3185]],
  "formation_energy_uncorrected_ev_per_atom": -2.9832
}

***

Record 7
{
  "formula": "PmAgIrO6",
  "functional": "PBE",
  "state": "relaxed",
  "lattice": [[5.7067, 0.0000, 0.0000], [-2.8534, 4.9422, 0.0000], [0.0000, 0.0000, 8.7855]],
  "species": ["Pm", "Pm", "O", "O", "O", "O", "O", "O", "O", "O", "O", "O", "O", "O", "Ag", "Ag", "Ir", "Ir"],
  "fractional_positions": [[0.6667, 0.3333, 0.7500], [0.3333, 0.6667, 0.2500], [0.6078, 0.9467, 0.8730], [0.0533, 0.6611, 0.8730], [0.9467, 0.6078, 0.3730], [0.6611, 0.6078, 0.1270], [0.3922, 0.0533, 0.1270], [0.3389, 0.3922, 0.8730], [0.9467, 0.3389, 0.1270], [0.3922, 0.3389, 0.3730], [0.3389, 0.9467, 0.6270], [0.0533, 0.3922, 0.6270], [0.6611, 0.0533, 0.3730], [0.6078, 0.6611, 0.6270], [0.0000, 0.0000, 0.0000], [0.0000, 0.0000, 0.5000], [0.6667, 0.3333, 0.2500], [0.3333, 0.6667, 0.7500]],
  "formation_energy_uncorrected_ev_per_atom": -1.1261
}

***

Record 8
{
  "formula": "ErNi4P3",
  "functional": "PBE",
  "state": "relaxed",
  "lattice": [[3.8246, 0.0000, 0.0000], [0.0000, 3.8246, 0.0000], [0.0000, 0.0000, 7.2246]],
  "species": ["P", "P", "P", "Ni", "Ni", "Ni", "Ni", "Er"],
  "fractional_positions": [[0.0000, 0.0000, 0.0000], [0.5000, 0.5000, 0.6573], [0.5000, 0.5000, 0.3427], [0.0000, 0.5000, 0.1785], [0.5000, 0.0000, 0.8214], [0.5000, 0.0000, 0.1785], [0.0000, 0.5000, 0.8214], [0.0000, 0.0000, 0.5000]],
  "e_form_ev_per_atom": -0.810
}